The following is a PBE with a Hubbard U calculation of an optimized crystal structure of Ca2AlFeO5, from the Alexandria database.

a = 14.4477 Å, b = 5.6894 Å, c = 5.4301 Å
α = 90.00°, β = 90.00°, γ = 90.00°
Closest atoms and distances in Å follow each position.
Space group Ima2 (No. 46)
Asymmetric unit:
1 Ca 0.1098 0.0311 0.0000 [8 per cell]  7 O 2.32-2.60
2 Al 0.2500 0.5760 0.0299 [4 per cell]  4 O 1.76-1.83
3 Fe 0.0000 0.0000 0.4893 [4 per cell]  6 O 1.97-2.16
4 O 0.0155 0.7462 0.2408 [8 per cell]  2 Fe 1.97-1.99
5 O 0.1465 0.0734 0.4621 [8 per cell]  1 Al 1.76
6 O 0.2500 0.6501 0.3576 [4 per cell]  2 Al 1.82-1.83

## Properties
**Electronic total energy**: -6.84 eV/atom
**Total magnetic moment**: 20.00 Bohr magnetons per cell